1.
Compound: Tm2Co
Source: the Alexandria database
Functional: PBE-GGA
Structure: relaxed

Calculated values
Crystal system   monoclinic
Magnetization   0.00 μB/cell
DOS at the Fermi energy   5.5 states/eV per cell

Cell and atoms, written as POSCAR:
```
Tm2Co
1.0
5.892 -1.822 0.000
5.892 1.822 0.000
-4.526 0.000 6.390
Tm Co
4 2
Cartesian
-0.805 0.000 2.409
-0.325 0.000 5.834
7.583 0.000 0.556
8.063 0.000 3.981
3.062 0.000 2.016
4.196 0.000 4.374
```

***

2.
Compound: Tm3Co2
Source: the Alexandria database
Functional: PBE-GGA
Structure: relaxed

Calculated values
Crystal system   trigonal
Magnetization   0.00 μB/cell
DOS at the Fermi energy   7.0 states/eV per cell

Cell and atoms, written as POSCAR:
```
Tm3Co2
1.0
3.266 1.886 5.999
-3.266 1.886 5.999
0.000 -3.771 5.999
Tm Co
6 4
Cartesian
-2.096 0.140 7.499
-1.170 -1.745 10.499
0.927 -1.886 7.499
-0.927 1.886 10.499
1.170 1.745 7.499
2.096 -0.140 10.499
0.000 0.000 3.225
0.000 0.000 5.774
0.000 0.000 12.224
0.000 0.000 14.773
```

***

3.
Compound: Tm3Co
Source: the Alexandria database
Functional: PBE-GGA
Structure: relaxed

Calculated values
Crystal system   tetragonal
Magnetization   0.00 μB/cell
DOS at the Fermi energy   12.3 states/eV per cell

Cell and atoms, written as POSCAR:
```
Tm3Co
1.0
-5.651 5.651 3.007
5.651 -5.651 3.007
5.651 5.651 -3.007
Tm Co
12 4
Cartesian
4.054 0.000 0.000
7.247 0.000 0.000
2.279 -2.279 1.849
4.565 4.565 -1.482
1.085 1.085 1.525
0.000 4.054 0.000
3.371 3.371 1.158
-2.279 2.279 1.849
0.000 7.247 0.000
1.085 -1.085 4.489
-1.085 1.085 4.489
2.279 2.279 4.165
5.651 2.369 0.000
2.369 5.651 0.000
3.281 0.000 3.007
0.000 3.281 3.007
```

***

4.
Compound: Tm4Co3
Source: the Alexandria database
Functional: PBE-GGA
Structure: relaxed

Calculated values
Crystal system   trigonal
Magnetization   0.07 μB/cell
DOS at the Fermi energy   15.5 states/eV per cell

Cell and atoms, written as POSCAR:
```
Tm4Co3
1.0
11.088 0.000 0.000
-5.544 9.602 0.000
0.000 0.000 3.989
Tm Co
12 9
Cartesian
-4.048 7.461 0.995
-1.356 4.941 0.993
1.107 2.366 0.995
2.602 0.224 2.994
-0.587 8.306 0.993
1.943 5.957 0.993
3.601 3.645 2.996
6.131 1.296 2.996
2.941 9.378 0.995
4.437 7.236 2.994
6.900 4.662 2.996
9.592 2.142 2.994
0.000 0.000 0.000
-2.261 6.898 2.998
0.701 4.195 2.998
0.000 6.401 2.983
3.983 1.491 0.991
1.561 8.112 2.998
5.544 3.201 1.006
4.843 5.407 0.991
7.805 2.704 0.991
```

***

5.
Compound: Tm3Co2
Source: the Alexandria database
Functional: PBE-GGA
Structure: relaxed

Calculated values
Crystal system   orthorhombic
Magnetization   0.00 μB/cell
DOS at the Fermi energy   4.8 states/eV per cell

Cell and atoms, written as POSCAR:
```
Tm3Co2
1.0
1.929 -7.180 0.000
1.929 7.180 0.000
0.000 0.000 3.853
Tm Co
3 2
Cartesian
0.000 0.000 0.000
1.929 2.171 1.926
1.929 -2.171 1.926
1.929 4.302 0.000
1.929 -4.302 0.000
```

***

6.
Compound: Tm4Co
Source: the Alexandria database
Functional: PBE-GGA
Structure: relaxed

Calculated values
Crystal system   orthorhombic
Magnetization   0.00 μB/cell
DOS at the Fermi energy   11.7 states/eV per cell

Cell and atoms, written as POSCAR:
```
Tm4Co
1.0
0.000 6.311 3.570
6.113 0.000 3.570
6.113 6.311 0.000
Tm Co
8 2
Cartesian
7.701 7.344 1.758
7.553 4.199 3.570
4.644 2.123 3.543
4.526 5.278 1.758
7.730 7.355 5.355
7.583 10.499 3.543
4.674 8.423 3.570
4.496 5.267 5.355
3.057 3.156 1.727
6.113 6.311 7.082
```

***

7.
Compound: Tm2Co7
Source: the Alexandria database
Functional: PBE-GGA
Structure: relaxed

Calculated values
Crystal system   trigonal
Magnetization   17.89 μB/cell
DOS at the Fermi energy   26.3 states/eV per cell

Cell and atoms, written as POSCAR:
```
Tm2Co7
1.0
2.464 1.422 11.975
-2.464 1.422 11.975
0.000 -2.845 11.975
Tm Co
4 14
Cartesian
0.000 0.000 1.849
0.000 0.000 5.322
0.000 0.000 30.603
0.000 0.000 34.076
-1.232 -0.711 11.975
-1.239 -0.715 15.913
0.000 0.000 10.005
0.000 0.000 13.967
0.000 -1.430 20.012
-1.239 0.715 20.012
-1.232 0.711 23.950
0.000 1.422 11.975
0.000 0.000 17.962
1.239 -0.715 15.913
0.000 1.430 15.913
0.000 0.000 21.958
0.000 0.000 25.919
1.239 0.715 20.012
```

***

8.
Compound: Tm2Co
Source: the Alexandria database
Functional: PBE-GGA
Structure: relaxed

Calculated values
Crystal system   monoclinic
Magnetization   0.00 μB/cell
DOS at the Fermi energy   2.4 states/eV per cell

Cell and atoms, written as POSCAR:
```
Tm2Co
1.0
3.427 -1.973 0.000
3.427 1.973 0.000
-2.287 0.000 5.402
Tm Co
2 1
Cartesian
1.144 0.000 1.323
3.423 0.000 4.079
3.427 0.000 0.000
```

***

Table of formation energy from the elements (meV per atom), in record order: -216; -148; -118; -229; -197; -81; -191; -116